(1)
# KLi3Al (SCAN, PBEsol geometry)
data_KLi3Al
_symmetry_space_group_name_H-M 'P m -3 m'
_symmetry_Int_Tables_number 221
_symmetry_space_group_name_Hall '-P 4 2 3'
_cell_length_a 5.286
_cell_length_b 5.286
_cell_length_c 5.286
_cell_angle_alpha 90.00
_cell_angle_beta 90.00
_cell_angle_gamma 90.00
loop_
_atom_site_label
_atom_site_fract_x
_atom_site_fract_y
_atom_site_fract_z
K1 0.000 0.000 0.000
Li1 0.000 0.500 0.500
Al1 0.500 0.500 0.500
# Calculated formation energy (eV/atom): 0.137


(2)
# K2LiAlP2 (SCAN, PBEsol geometry)
data_K2LiAlP2
_symmetry_space_group_name_H-M 'I b a m'
_symmetry_Int_Tables_number 72
_symmetry_space_group_name_Hall '-I 2 2c'
_cell_length_a 6.093
_cell_length_b 14.660
_cell_length_c 6.061
_cell_angle_alpha 90.00
_cell_angle_beta 90.00
_cell_angle_gamma 90.00
loop_
_atom_site_label
_atom_site_fract_x
_atom_site_fract_y
_atom_site_fract_z
K1 0.227 0.174 0.000
Li1 0.000 0.000 0.250
Al1 0.000 0.500 0.250
P1 0.223 0.410 0.000
# Calculated formation energy (eV/atom): -0.788


(3)
# K3MgAl (SCAN, PBEsol geometry)
data_K3MgAl
_symmetry_space_group_name_H-M 'P m -3 m'
_symmetry_Int_Tables_number 221
_symmetry_space_group_name_Hall '-P 4 2 3'
_cell_length_a 6.562
_cell_length_b 6.562
_cell_length_c 6.562
_cell_angle_alpha 90.00
_cell_angle_beta 90.00
_cell_angle_gamma 90.00
loop_
_atom_site_label
_atom_site_fract_x
_atom_site_fract_y
_atom_site_fract_z
K1 0.000 0.000 0.500
Mg1 0.500 0.500 0.500
Al1 0.000 0.000 0.000
# Calculated formation energy (eV/atom): 0.532


(4)
# KMgAl2 (SCAN, PBEsol geometry)
data_KMgAl2
_symmetry_space_group_name_H-M 'R -3 m'
_symmetry_Int_Tables_number 166
_symmetry_space_group_name_Hall '-R 3 2"'
_cell_length_a 3.1578
_cell_length_b 3.1578
_cell_length_c 31.9966
_cell_angle_alpha 90.00
_cell_angle_beta 90.00
_cell_angle_gamma 120.00
loop_
_atom_site_label
_atom_site_fract_x
_atom_site_fract_y
_atom_site_fract_z
K1 0.0000 0.0000 0.0000
Mg1 0.0000 0.0000 0.5000
Al1 0.0000 0.0000 0.2409
# Calculated formation energy (eV/atom): 0.311


(5)
# K2MgAl (SCAN, PBEsol geometry)
data_K2MgAl
_symmetry_space_group_name_H-M 'R -3 m'
_symmetry_Int_Tables_number 166
_symmetry_space_group_name_Hall '-R 3 2"'
_cell_length_a 3.5691
_cell_length_b 3.5691
_cell_length_c 36.9940
_cell_angle_alpha 90.00
_cell_angle_beta 90.00
_cell_angle_gamma 120.00
loop_
_atom_site_label
_atom_site_fract_x
_atom_site_fract_y
_atom_site_fract_z
K1 0.0000 0.0000 0.2457
Mg1 0.0000 0.0000 0.0000
Al1 0.0000 0.0000 0.5000
# Calculated formation energy (eV/atom): 0.458


(6)
Material: KMg8Al17Si19O72
Method: DFT, SCAN
State: PBEsol geometry

Structure (CIF):
```
data_KMg8Al17Si19O72
_symmetry_space_group_name_H-M 'P 1'
_symmetry_Int_Tables_number 1
_cell_length_a 9.898
_cell_length_b 9.924
_cell_length_c 18.766
_cell_angle_alpha 89.97
_cell_angle_beta 89.88
_cell_angle_gamma 60.21
loop_
_symmetry_equiv_pos_as_xyz
'x,y,z'
loop_
_atom_site_label
_atom_site_fract_x
_atom_site_fract_y
_atom_site_fract_z
K1 0.000 0.000 0.000
Mg1 0.342 0.307 0.081
Mg2 0.345 0.303 0.580
Mg3 0.349 0.299 0.328
Mg4 0.351 0.300 0.826
Mg5 0.666 0.640 0.577
Mg6 0.674 0.644 0.328
Mg7 0.676 0.643 0.827
Mg8 0.677 0.637 0.081
Al1 0.006 0.482 0.081
Al2 0.113 0.246 0.703
Al3 0.116 0.246 0.206
Al4 0.275 0.075 0.453
Al5 0.275 0.608 0.203
Al6 0.279 0.077 0.953
Al7 0.282 0.608 0.701
Al8 0.507 0.467 0.078
Al9 0.509 0.462 0.575
Al10 0.510 0.979 0.327
Al11 0.515 0.978 0.827
Al12 0.632 0.241 0.953
Al13 0.632 0.242 0.453
Al14 0.643 0.082 0.205
Al15 0.645 0.082 0.702
Al16 0.898 0.353 0.458
Al17 0.901 0.355 0.956
Si1 0.005 0.487 0.580
Si2 0.006 0.477 0.331
Si3 0.009 0.478 0.827
Si4 0.102 0.615 0.455
Si5 0.108 0.607 0.954
Si6 0.377 0.703 0.453
Si7 0.379 0.702 0.953
Si8 0.386 0.873 0.204
Si9 0.389 0.874 0.703
Si10 0.505 0.473 0.327
Si11 0.506 0.473 0.827
Si12 0.515 0.975 0.578
Si13 0.516 0.975 0.079
Si14 0.737 0.872 0.452
Si15 0.738 0.357 0.701
Si16 0.739 0.355 0.203
Si17 0.740 0.867 0.953
Si18 0.905 0.711 0.206
Si19 0.913 0.713 0.705
O1 0.079 0.678 0.203
O2 0.085 0.680 0.706
O3 0.086 0.203 0.961
O4 0.086 0.214 0.459
O5 0.124 0.507 0.385
O6 0.125 0.510 0.880
O7 0.127 0.513 0.529
O8 0.135 0.340 0.626
O9 0.139 0.336 0.285
O10 0.142 0.339 0.779
O11 0.142 0.499 0.024
O12 0.149 0.330 0.131
O13 0.229 0.672 0.950
O14 0.233 0.666 0.453
O15 0.250 0.050 0.207
O16 0.255 0.054 0.703
O17 0.314 0.884 0.949
O18 0.320 0.882 0.447
O19 0.330 0.749 0.196
O20 0.332 0.751 0.697
O21 0.351 0.504 0.284
O22 0.356 0.503 0.782
O23 0.362 0.476 0.134
O24 0.363 0.092 0.534
O25 0.365 0.474 0.633
O26 0.369 0.092 0.032
O27 0.369 0.114 0.385
O28 0.369 0.114 0.882
O29 0.486 0.625 0.024
O30 0.486 0.626 0.524
O31 0.488 0.615 0.381
O32 0.490 0.616 0.880
O33 0.491 0.330 0.519
O34 0.499 0.848 0.131
O35 0.502 0.328 0.022
O36 0.503 0.833 0.274
O37 0.505 0.835 0.773
O38 0.505 0.846 0.631
O39 0.510 0.121 0.272
O40 0.518 0.119 0.773
O41 0.528 0.326 0.873
O42 0.534 0.322 0.372
O43 0.542 0.099 0.623
O44 0.546 0.096 0.123
O45 0.646 0.465 0.276
O46 0.647 0.465 0.776
O47 0.654 0.469 0.632
O48 0.656 0.467 0.133
O49 0.658 0.844 0.526
O50 0.659 0.843 0.027
O51 0.662 0.831 0.383
O52 0.666 0.829 0.883
O53 0.704 0.044 0.450
O54 0.710 0.040 0.951
O55 0.710 0.211 0.201
O56 0.710 0.212 0.700
O57 0.752 0.314 0.470
O58 0.779 0.281 0.959
O59 0.780 0.889 0.215
O60 0.781 0.888 0.709
O61 0.862 0.490 0.024
O62 0.867 0.633 0.137
O63 0.872 0.468 0.379
O64 0.872 0.485 0.530
O65 0.878 0.464 0.874
O66 0.885 0.622 0.280
O67 0.885 0.623 0.775
O68 0.885 0.630 0.633
O69 0.916 0.312 0.708
O70 0.918 0.308 0.209
O71 0.924 0.753 0.457
O72 0.929 0.753 0.957
```


(7)
Material: KMg4Al9Si9O36
Method: DFT, SCAN
State: PBEsol geometry

Structure (CIF):
```
data_KMg4Al9Si9O36
_symmetry_space_group_name_H-M 'P 1'
_symmetry_Int_Tables_number 1
_cell_length_a 9.488
_cell_length_b 9.772
_cell_length_c 9.799
_cell_angle_alpha 60.36
_cell_angle_beta 89.97
_cell_angle_gamma 89.97
loop_
_symmetry_equiv_pos_as_xyz
'x,y,z'
loop_
_atom_site_label
_atom_site_fract_x
_atom_site_fract_y
_atom_site_fract_z
K1 0.000 0.000 0.000
Mg1 0.352 0.338 0.314
Mg2 0.352 0.670 0.659
Mg3 0.851 0.338 0.313
Mg4 0.851 0.670 0.659
Al1 0.101 0.632 0.097
Al2 0.102 0.121 0.254
Al3 0.351 0.506 0.486
Al4 0.352 0.004 0.488
Al5 0.352 0.500 0.992
Al6 0.601 0.260 0.099
Al7 0.850 0.500 0.992
Al8 0.851 0.004 0.486
Al9 0.851 0.506 0.486
Si1 0.100 0.738 0.370
Si2 0.101 0.276 0.607
Si3 0.101 0.384 0.875
Si4 0.101 0.900 0.719
Si5 0.601 0.107 0.621
Si6 0.601 0.378 0.720
Si7 0.601 0.624 0.257
Si8 0.601 0.736 0.885
Si9 0.601 0.886 0.371
O1 0.094 0.707 0.224
O2 0.095 0.924 0.301
O3 0.096 0.796 0.907
O4 0.097 0.233 0.048
O5 0.098 0.086 0.680
O6 0.098 0.314 0.752
O7 0.242 0.657 0.478
O8 0.243 0.352 0.503
O9 0.243 0.492 0.846
O10 0.243 0.868 0.644
O11 0.251 0.146 0.340
O12 0.251 0.521 0.127
O13 0.454 0.347 0.128
O14 0.460 0.489 0.639
O15 0.460 0.517 0.335
O16 0.460 0.659 0.852
O17 0.461 0.135 0.515
O18 0.461 0.858 0.482
O19 0.601 0.759 0.309
O20 0.602 0.236 0.678
O21 0.602 0.700 0.068
O22 0.602 0.927 0.771
O23 0.603 0.306 0.904
O24 0.604 0.059 0.226
O25 0.741 0.490 0.638
O26 0.742 0.134 0.515
O27 0.742 0.857 0.482
O28 0.743 0.518 0.334
O29 0.743 0.660 0.853
O30 0.747 0.348 0.128
O31 0.952 0.148 0.340
O32 0.953 0.518 0.127
O33 0.959 0.352 0.502
O34 0.959 0.493 0.845
O35 0.960 0.868 0.641
O36 0.961 0.653 0.483
```


(8)
# K4MnAl (SCAN, PBEsol geometry)
data_K4MnAl
_symmetry_space_group_name_H-M 'F -4 3 m'
_symmetry_Int_Tables_number 216
_symmetry_space_group_name_Hall 'F -4 2 3'
_cell_length_a 9.862
_cell_length_b 9.862
_cell_length_c 9.862
_cell_angle_alpha 90.00
_cell_angle_beta 90.00
_cell_angle_gamma 90.00
loop_
_atom_site_label
_atom_site_fract_x
_atom_site_fract_y
_atom_site_fract_z
K1 0.125 0.125 0.125
Mn1 0.000 0.000 0.500
Al1 0.250 0.250 0.750
# Calculated formation energy (eV/atom): 0.718


Spin magnetization? In order: 0.181; 0.000; 0.000; 0.000; 0.000; 0.001; 0.000; 0.879 μB per atom.
E_tot? In order: -4.51; -8.72; -7.01; -6.89; -6.89; -10.12; -10.15; -9.17 eV per atom.